A relaxed MgTl2Re crystal, computed with PBE-GGA.

Computed properties:
Formation enthalpy at 0 K   4.0 eV/f.u.
E_tot   -3.694 eV per atom
Distance to the lowest polymorph of the same formula   412 meV per atom
D(E_F)   0.421 states/eV per atom
Space-group type   I-42d (122)

a = 10.331 Å, b = 10.331 Å, c = 10.331 Å
α = 155.75°, β = 155.75°, γ = 34.56°
Element x y z (fractional)
1 Mg 0.000 0.000 0.000
2 Mg 0.750 0.250 0.500
3 Tl 0.143 0.625 0.018
4 Tl 0.375 0.393 0.518
5 Tl 0.607 0.125 0.982
6 Tl 0.875 0.857 0.482
7 Re 0.250 0.750 0.500
8 Re 0.500 0.500 0.000

A relaxed KCa2B2O6 crystal, computed with PBE-GGA.

Computed properties:
Uncorrected formation energy   -236.8 kJ per mole of atoms
E_tot   -6.836 eV per atom
D(E_F)   0.405 states/eV per atom
Space-group type   P-1 (2)

a = 5.984 Å, b = 6.003 Å, c = 6.194 Å
α = 66.60°, β = 66.73°, γ = 62.12°
Element x y z (fractional)
1 K 0.000 0.000 0.000
2 Ca 0.322 0.322 0.302
3 Ca 0.678 0.678 0.698
4 B 0.342 0.340 0.747
5 B 0.658 0.660 0.253
6 O 0.108 0.485 0.682
7 O 0.426 0.423 0.868
8 O 0.485 0.108 0.681
9 O 0.515 0.892 0.319
10 O 0.574 0.577 0.132
11 O 0.892 0.515 0.318

A relaxed ZrBe3Pd crystal, computed with PBE-GGA.

Computed properties:
Formation enthalpy at 0 K   0.2 eV/f.u.
E_tot   -4.943 eV per atom
Distance to the lowest polymorph of the same formula   0 meV per atom
D(E_F)   0.176 states/eV per atom
Space-group type   Pm-3m (221)

a = 4.149 Å, b = 4.149 Å, c = 4.149 Å
α = 90.00°, β = 90.00°, γ = 90.00°
Element x y z (fractional)
1 Zr 0.000 0.000 0.000
2 Be 0.000 0.500 0.500
3 Be 0.500 0.000 0.500
4 Be 0.500 0.500 0.000
5 Pd 0.500 0.500 0.500